# 1
Computed, not measured: crystalline MgTiMoW2 at its relaxed geometry at the GGA-PBE level of DFT.

volume = 107 Å³ per cell
formation enthalpy at 0 K = 1.67 eV per atom

a b c (Å): 4.7018 4.8563 4.7018
angles (deg): 90.00 90.00 90.00
With the nearest neighbours (Å) after each atom.
Fractional positions:
Mo 0.0000 0.0000 0.0000  4 W 2.35, 2 Mg 2.43
Mg 0.0000 0.5000 0.0000  2 Mo 2.43
W 0.0000 0.0000 0.5000  2 Mo 2.35
W 0.5000 0.0000 0.0000  2 Mo 2.35
Ti 0.5000 0.5000 0.5000  4 Mg 3.32, 8 W 3.38

---

# 2
Computed, not measured: crystalline Mg4TlMo at its relaxed geometry at the GGA-PBE level of DFT.

volume = 131 Å³ per cell
formation enthalpy at 0 K = 0.51 eV per atom

a b c (Å): 5.7013 5.7013 5.7013
angles (deg): 60.00 60.00 60.00
With the nearest neighbours (Å) after each atom.
Fractional positions:
Mg 0.8731 0.3756 0.3756  6 Mg 2.84-2.87
Mg 0.3756 0.3756 0.8731  6 Mg 2.84-2.87
Mg 0.3756 0.8731 0.3756  6 Mg 2.84-2.87
Mg 0.3756 0.3756 0.3756  6 Mg 2.84-2.87
Tl 0.0000 0.0000 0.0000  12 Mg 3.34, 4 Mo 3.49
Mo 0.7500 0.7500 0.7500  12 Mg 3.34, 4 Tl 3.49

---

# 3
Computed, not measured: crystalline MgTl2Mo at its relaxed geometry at the GGA-PBE level of DFT.

volume = 85 Å³ per cell
formation enthalpy at 0 K = 0.49 eV per atom
ΔE to the lowest computed polymorph = 0.769 kcal/mol of atoms

a b c (Å): 5.4332 3.0207 5.1968
angles (deg): 89.99 90.00 90.00
With the nearest neighbours (Å) after each atom.
Fractional positions:
Mg 0.0000 0.3754 0.5338  6 Tl 2.91-3.15, 2 Mg 3.02, 4 Mo 3.26
Mo 0.5000 0.8747 0.7241  6 Tl 2.98-3.10, 2 Mo 3.02, 4 Mg 3.26
Tl 0.0000 0.8754 0.0133  4 Mg 2.91-3.10, 2 Tl 3.02, 2 Mo 3.10
Tl 0.5000 0.3745 0.2288  4 Mo 2.98-3.03, 6 Tl 3.02-3.30, 2 Mg 3.15

---

# 4
Computed, not measured: crystalline MgTlMo2 at its relaxed geometry at the GGA-PBE level of DFT.

volume = 75 Å³ per cell
formation enthalpy at 0 K = 0.44 eV per atom
ΔE to the lowest computed polymorph = 3.619 kcal/mol of atoms

a b c (Å): 5.4334 5.4334 5.4334
angles (deg): 143.31 127.41 65.83
With the nearest neighbours (Å) after each atom.
Fractional positions:
Mg 0.2396 0.7396 0.5000  8 Mo 2.95-3.23, 4 Tl 2.98-3.21
Mo 0.9757 0.9757 0.0000  2 Mo 2.49
Mo 0.7779 0.2779 0.5000  2 Mo 2.49
Tl 0.5069 0.5069 0.0000  8 Mo 2.97-3.19, 4 Mg 2.98-3.21

---

# 5
Computed, not measured: crystalline MgTl2Mo at its relaxed geometry at the GGA-PBE level of DFT.

volume = 88 Å³ per cell
formation enthalpy at 0 K = 0.64 eV per atom
ΔE to the lowest computed polymorph = 4.175 kcal/mol of atoms

a b c (Å): 4.9958 4.9958 4.9958
angles (deg): 60.00 60.00 60.00
With the nearest neighbours (Å) after each atom.
Fractional positions:
Mg 0.0000 0.0000 0.0000  8 Tl 3.06
Tl 0.2500 0.2500 0.2500  4 Mo 3.06, 4 Mg 3.06
Tl 0.7500 0.7500 0.7500  4 Mg 3.06, 4 Mo 3.06
Mo 0.5000 0.5000 0.5000  8 Tl 3.06

---

# 6
Computed, not measured: crystalline MgTlMo at its relaxed geometry at the GGA-PBE level of DFT.

volume = 58 Å³ per cell
formation enthalpy at 0 K = 0.57 eV per atom
ΔE to the lowest computed polymorph = 1.983 kcal/mol of atoms

a b c (Å): 5.4811 5.4811 5.4811
angles (deg): 148.10 137.78 53.88
With the nearest neighbours (Å) after each atom.
Fractional positions:
Mg 0.9916 0.9916 0.0000  4 Mo 2.89, 2 Mg 3.01, 5 Tl 3.02-3.16
Mo 0.3406 0.3406 0.0000  4 Mg 2.89, 5 Tl 3.00-3.20, 2 Mo 3.01
Tl 0.6678 0.6678 0.0000  5 Mo 3.00-3.20, 2 Tl 3.01, 5 Mg 3.02-3.16